# 1
# MnP3Pt

An optimized crystal structure of MnP3Pt (GGA-PBE, Alexandria).

a = 4.6525 Å, b = 4.6525 Å, c = 4.6525 Å
α = 90.00°, β = 90.00°, γ = 90.00°
Closest atoms and distances in Å follow each position.
Fractional coordinates of all 5 atoms:
Mn1 0.0000 0.0000 0.0000  12 P 3.29
P1 0.0000 0.5000 0.5000  2 Pt 2.33
P2 0.5000 0.0000 0.5000  2 Pt 2.33
P3 0.5000 0.5000 0.0000  2 Pt 2.33
Pt1 0.5000 0.5000 0.5000  6 P 2.33

Summary:
polymorph energy (0 for the lowest one): 871 meV/atom
DFT formation energy: 1.366 eV per atom
calculated total energy: -24.6 eV/f.u.
space-group type: No. 221

# 2
# TlSn2As

An optimized crystal structure of TlSn2As (GGA-PBE, Alexandria).

a = 7.9247 Å, b = 7.9247 Å, c = 7.9247 Å
α = 130.94°, β = 130.94°, γ = 71.90°
Closest atoms and distances in Å follow each position.
Fractional coordinates of all 8 atoms:
Tl1 0.0000 0.0000 0.0000  4 Sn 2.91
Tl2 0.7500 0.2500 0.5000  4 Sn 2.91
Sn1 0.1473 0.6250 0.0223  2 As 2.74, 2 Tl 2.91
Sn2 0.3750 0.3973 0.5223  2 As 2.74, 2 Tl 2.91
Sn3 0.6027 0.1250 0.9777  2 As 2.74, 2 Tl 2.91
Sn4 0.8750 0.8527 0.4777  2 As 2.74, 2 Tl 2.91
As1 0.2500 0.7500 0.5000  4 Sn 2.74
As2 0.5000 0.5000 0.0000  4 Sn 2.74

Summary:
polymorph energy (0 for the lowest one): 75 meV/atom
DFT formation energy: 0.095 eV per atom
calculated total energy: -14.6 eV/f.u.
space-group type: No. 122

# 3
# HfGaTeI2

An optimized crystal structure of HfGaTeI2 (GGA-PBE, Alexandria).

a = 5.4307 Å, b = 5.4307 Å, c = 5.4619 Å
α = 90.00°, β = 90.00°, γ = 90.00°
Closest atoms and distances in Å follow each position.
Fractional coordinates of all 5 atoms:
Hf1 0.0000 0.0000 0.0000  4 Te 3.84, 8 I 3.85
Ga1 0.5000 0.5000 0.5000  4 I 2.72, 2 Te 2.73
Te1 0.5000 0.5000 0.0000  2 Ga 2.73
I1 0.0000 0.5000 0.5000  2 Ga 2.72
I2 0.5000 0.0000 0.5000  2 Ga 2.72

Summary:
polymorph energy (0 for the lowest one): 799 meV/atom
formation energy without anion corrections: 569.1 meV/atom
calculated total energy: -16.4 eV/f.u.
space-group type: No. 123

# 4
# YCd2Ga

An optimized crystal structure of YCd2Ga (GGA-PBE, Alexandria).

a = 11.1400 Å, b = 11.1400 Å, c = 11.1400 Å
α = 16.85°, β = 16.85°, γ = 16.85°
Closest atoms and distances in Å follow each position.
Fractional coordinates of all 4 atoms:
Y1 0.0000 0.0000 0.0000  2 Cd 3.13, 6 Y 3.27
Cd1 0.0951 0.0951 0.0951  3 Ga 3.02, 1 Y 3.13, 6 Cd 3.27
Cd2 0.9049 0.9049 0.9049  3 Ga 3.02, 1 Y 3.13, 6 Cd 3.27
Ga1 0.5000 0.5000 0.5000  6 Cd 3.02, 6 Ga 3.27

Summary:
DFT formation energy: 0.182 eV per atom
calculated total energy: -10.6 eV/f.u.
space-group type: No. 166

# 5
# ZrPaPd2

An optimized crystal structure of ZrPaPd2 (GGA-PBE, Alexandria).

a = 9.6322 Å, b = 9.6322 Å, c = 9.6322 Å
α = 18.67°, β = 18.67°, γ = 18.67°
Closest atoms and distances in Å follow each position.
Fractional coordinates of all 4 atoms:
Zr1 0.0000 0.0000 0.0000  6 Pd 2.85, 6 Zr 3.13
Pa1 0.5000 0.5000 0.5000  6 Pd 3.11, 6 Pa 3.13
Pd1 0.2558 0.2558 0.2558  3 Zr 2.85, 3 Pa 3.11, 6 Pd 3.13
Pd2 0.7442 0.7442 0.7442  3 Zr 2.85, 3 Pa 3.11, 6 Pd 3.13

Summary:
polymorph energy (0 for the lowest one): 186 meV/atom
DFT formation energy: -0.287 eV per atom
calculated total energy: -29.6 eV/f.u.
space-group type: No. 166

# 6
# U4Co7Ni6

An optimized crystal structure of U4Co7Ni6 (GGA-PBE, Alexandria).

a = 6.7016 Å, b = 6.7016 Å, c = 6.7016 Å
α = 109.47°, β = 109.47°, γ = 109.47°
Closest atoms and distances in Å follow each position.
Fractional coordinates of all 17 atoms:
U1 0.0000 0.0000 0.5000  6 Co 2.74, 6 Ni 2.77
U2 0.0000 0.5000 0.0000  6 Co 2.74, 6 Ni 2.77
U3 0.5000 0.0000 0.0000  6 Co 2.74, 6 Ni 2.77
U4 0.5000 0.5000 0.5000  6 Co 2.74, 6 Ni 2.77
Co1 0.0000 0.0000 0.0000  6 Ni 2.35
Co2 0.2500 0.5000 0.7500  4 Ni 2.46, 4 Co 2.74, 4 U 2.74
Co3 0.2500 0.7500 0.5000  4 Ni 2.46, 4 Co 2.74, 4 U 2.74
Co4 0.5000 0.2500 0.7500  4 Ni 2.46, 4 Co 2.74, 4 U 2.74
Co5 0.5000 0.7500 0.2500  4 Ni 2.46, 4 Co 2.74, 4 U 2.74
Co6 0.7500 0.2500 0.5000  4 Ni 2.46, 4 Co 2.74, 4 U 2.74
Co7 0.7500 0.5000 0.2500  4 Ni 2.46, 4 Co 2.74, 4 U 2.74
Ni1 0.0000 0.3037 0.3037  5 Co 2.35-2.46
Ni2 0.0000 0.6963 0.6963  5 Co 2.35-2.46
Ni3 0.3037 0.0000 0.3037  5 Co 2.35-2.46
Ni4 0.3037 0.3037 0.0000  5 Co 2.35-2.46
Ni5 0.6963 0.0000 0.6963  5 Co 2.35-2.46
Ni6 0.6963 0.6963 0.0000  5 Co 2.35-2.46

Summary:
DFT formation energy: -0.157 eV per atom
calculated total energy: -132.3 eV/f.u.
space-group type: No. 229

# 7
# CsNaTe

An optimized crystal structure of CsNaTe (GGA-PBE, Alexandria).

a = 7.0570 Å, b = 7.0570 Å, c = 7.0570 Å
α = 142.73°, β = 142.73°, γ = 53.73°
Closest atoms and distances in Å follow each position.
Fractional coordinates of all 3 atoms:
Cs1 0.0000 0.0000 0.0000  1 Na 3.21
Na1 0.2551 0.2551 0.0000  1 Cs 3.21, 4 Te 3.27
Te1 0.6964 0.6964 0.0000  4 Na 3.27

Summary:
formation energy without anion corrections: -788.5 meV/atom
calculated total energy: -7.7 eV/f.u.
space-group type: No. 107

# 8
# Ag2NF8

An optimized crystal structure of Ag2NF8 (GGA-PBE, Alexandria).

a = 4.1343 Å, b = 6.6011 Å, c = 7.1147 Å
α = 62.41°, β = 87.56°, γ = 84.93°
Closest atoms and distances in Å follow each position.
Fractional coordinates of all 11 atoms:
Ag1 0.0000 0.0000 0.0000  4 F 2.00-2.08
Ag2 0.0003 0.2919 0.4163  4 F 2.00-2.08
N1 0.3424 0.6335 0.7084  3 F 1.39-1.47
F1 0.0205 0.2380 0.1619  1 Ag 2.00
F2 0.0198 0.6919 0.2540  1 Ag 2.00
F3 0.1286 0.8237 0.7077  1 N 1.47
F4 0.5040 0.2662 0.4322  2 Ag 2.07-2.08
F5 0.5039 0.9900 0.9841  2 Ag 2.07-2.08
F6 0.5411 0.5806 0.8803  1 N 1.39
F7 0.5421 0.7509 0.5361  1 N 1.39
F8 0.9718 0.2891 0.7083  2 Ag 2.07

Summary:
formation energy without anion corrections: -826.8 meV/atom
calculated total energy: -38.1 eV/f.u.
space-group type: No. 1

# 9
# Ca2YSe

An optimized crystal structure of Ca2YSe (GGA-PBE, Alexandria).

a = 4.0688 Å, b = 5.1057 Å, c = 5.7147 Å
α = 90.00°, β = 90.00°, γ = 90.00°
Closest atoms and distances in Å follow each position.
Fractional coordinates of all 4 atoms:
Ca1 0.0000 0.0000 0.0000  4 Se 3.26, 4 Ca 3.51
Ca2 0.5000 0.0000 0.5000  4 Y 3.26, 4 Ca 3.51
Y1 0.0000 0.5000 0.5000  4 Ca 3.26, 4 Se 3.51
Se1 0.5000 0.5000 0.0000  4 Ca 3.26, 4 Y 3.51

Summary:
polymorph energy (0 for the lowest one): 484 meV/atom
formation energy without anion corrections: -361.6 meV/atom
calculated total energy: -15.4 eV/f.u.
space-group type: No. 47

# 10
# ZnSn2Se2

An optimized crystal structure of ZnSn2Se2 (GGA-PBE, Alexandria).

a = 7.8440 Å, b = 7.8440 Å, c = 4.1143 Å
α = 90.00°, β = 90.00°, γ = 90.00°
Closest atoms and distances in Å follow each position.
Fractional coordinates of all 10 atoms:
Zn1 0.0000 0.0000 0.0000  4 Se 2.93
Zn2 0.5000 0.5000 0.0000  4 Se 2.93
Sn1 0.1576 0.3424 0.5000  2 Se 2.85
Sn2 0.3424 0.8424 0.5000  2 Se 2.85
Sn3 0.6576 0.1576 0.5000  2 Se 2.85
Sn4 0.8424 0.6576 0.5000  2 Se 2.85
Se1 0.1651 0.6651 0.0000  2 Sn 2.85, 2 Zn 2.93
Se2 0.3349 0.1651 0.0000  2 Sn 2.85, 2 Zn 2.93
Se3 0.6651 0.8349 0.0000  2 Sn 2.85, 2 Zn 2.93
Se4 0.8349 0.3349 0.0000  2 Sn 2.85, 2 Zn 2.93

Summary:
polymorph energy (0 for the lowest one): 27 meV/atom
formation energy without anion corrections: -77.4 meV/atom
calculated total energy: -16.6 eV/f.u.
space-group type: No. 127

# 11
# Ce3Zn2Hg4

An optimized crystal structure of Ce3Zn2Hg4 (GGA-PBE, Alexandria).

a = 5.9884 Å, b = 5.9884 Å, c = 9.1722 Å
α = 117.43°, β = 117.43°, γ = 48.76°
Closest atoms and distances in Å follow each position.
Fractional coordinates of all 9 atoms:
Ce1 0.0000 0.0000 0.0000  8 Hg 3.24-3.43, 4 Zn 3.33, 2 Ce 3.41
Ce2 0.3381 0.3381 0.3359  8 Hg 3.25-3.36, 4 Zn 3.28-3.34, 2 Ce 3.28-3.41
Ce3 0.6619 0.6619 0.6641  8 Hg 3.25-3.36, 4 Zn 3.28-3.34, 2 Ce 3.28-3.41
Zn1 0.3872 0.3872 0.7190  3 Hg 2.78-2.81
Zn2 0.6128 0.6128 0.2810  3 Hg 2.78-2.81
Hg1 0.0665 0.0665 0.3911  2 Zn 2.81, 1 Hg 3.00
Hg2 0.2881 0.2881 0.9444  1 Zn 2.78, 2 Hg 2.95
Hg3 0.7119 0.7119 0.0556  1 Zn 2.78, 2 Hg 2.95
Hg4 0.9335 0.9335 0.6089  2 Zn 2.81, 1 Hg 3.00

Summary:
DFT formation energy: -0.334 eV per atom
calculated total energy: -24.6 eV/f.u.
space-group type: No. 12

# 12
# Ta2Rh3

An optimized crystal structure of Ta2Rh3 (GGA-PBE, Alexandria).

a = 7.0963 Å, b = 5.3672 Å, c = 8.1648 Å
α = 59.02°, β = 40.42°, γ = 80.55°
Closest atoms and distances in Å follow each position.
Fractional coordinates of all 10 atoms:
Ta1 0.0139 0.4861 0.0945  7 Rh 2.63-2.84
Ta2 0.1555 0.8445 0.2361  7 Rh 2.63-2.84
Ta3 0.4861 0.0139 0.4055  7 Rh 2.63-2.84
Ta4 0.8445 0.1555 0.7639  7 Rh 2.63-2.84
Rh1 0.0639 0.0639 0.9361  4 Ta 2.64-2.65, 4 Rh 2.78-2.93
Rh2 0.3139 0.3139 0.1861  4 Ta 2.64-2.65, 4 Rh 2.78-2.93
Rh3 0.4921 0.5855 0.3041  5 Ta 2.63-2.84, 5 Rh 2.75-2.93
Rh4 0.5855 0.4921 0.6183  5 Ta 2.63-2.84, 5 Rh 2.75-2.93
Rh5 0.6317 0.9459 0.6645  5 Ta 2.63-2.84, 5 Rh 2.75-2.93
Rh6 0.9459 0.6317 0.7579  5 Ta 2.63-2.84, 5 Rh 2.75-2.93

Summary:
polymorph energy (0 for the lowest one): 0 meV/atom
DFT formation energy: -0.487 eV per atom
calculated total energy: -48.2 eV/f.u.
space-group type: No. 43

Number 1: mass density 5655 kg/m3. Number 2: mass density 6179 kg/m3. Number 3: mass density 6490 kg/m3. Number 4: mass density 6282 kg/m3. Number 5: mass density 11104 kg/m3. Number 6: mass density 12304 kg/m3. Number 7: mass density 3676 kg/m3. Number 8: mass density 3698 kg/m3. Number 9: mass density 3469 kg/m3. Number 10: mass density 6045 kg/m3. Number 11: mass density 10534 kg/m3. Number 12: mass density 14121 kg/m3.